Entry from Alexandria: a relaxed structure of Pr2DySc2 (PBE-GGA).

Cell lengths 9.1074, 9.1074, 5.6710 Å; angles 107.95, 107.95, 121.61 degrees
Fractional coordinates of all 10 atoms:
Pr: 0.6949 0.8226 0.0072
Pr: 0.3051 0.1774 0.9928
Pr: 0.8226 0.6949 0.5072
Pr: 0.1774 0.3051 0.4928
Sc: 0.6242 0.3758 0.7500
Sc: 0.3758 0.6242 0.2500
Sc: 0.2600 0.7400 0.7500
Sc: 0.7400 0.2600 0.2500
Dy: 0.1625 0.8375 0.2500
Dy: 0.8375 0.1625 0.7500

Calculated values
For the total energy, the calculation gives -5.19 eV per atom. Its total moment is 0.0 μB/cell. The value obtained for the formation energy is 16.7 kJ per mole of atoms. The polymorph energy (0 for the lowest one) is 4 meV per atom. As for the space-group type: No. 15.

Entry from Alexandria: a relaxed structure of Pr3Dy4Sc (PBE-GGA).

Cell lengths 3.5010, 11.6805, 8.8575 Å; angles 131.25, 101.40, 90.00 degrees
Fractional coordinates of all 8 atoms:
Dy: 0.3666 0.6244 0.7332
Dy: 0.3666 0.1088 0.7332
Dy: 0.6334 0.3756 0.2668
Dy: 0.6334 0.8912 0.2668
Pr: 0.2393 0.2393 0.4786
Pr: 0.0000 0.5000 0.0000
Pr: 0.7607 0.7607 0.5214
Sc: 0.5000 0.0000 0.0000

Calculated values
For the total energy, the calculation gives -4.75 eV per atom. Its total moment is 0.0 μB/cell. The value obtained for the formation energy is 12.7 kJ per mole of atoms. The polymorph energy (0 for the lowest one) is 94 meV per atom. As for the space-group type: No. 71.

Entry from Alexandria: a relaxed structure of Pr5Dy12Sc2 (PBE-GGA).

Cell lengths 7.2570, 10.0524, 9.9521 Å; angles 68.28, 90.00, 111.16 degrees
Fractional coordinates of all 19 atoms:
Dy: 0.4059 0.3142 0.1405
Dy: 0.5906 0.6758 0.5039
Dy: 0.9868 0.9736 0.2132
Dy: 0.4967 0.9933 0.3141
Dy: 0.9147 0.3242 0.4961
Dy: 0.0853 0.6758 0.5039
Dy: 0.5941 0.6858 0.8595
Dy: 0.9083 0.3142 0.1405
Dy: 0.0132 0.0264 0.7868
Dy: 0.5033 0.0067 0.6859
Dy: 0.4094 0.3242 0.4961
Dy: 0.0917 0.6858 0.8595
Sc: 0.3026 0.0000 0.0000
Sc: 0.6974 0.0000 0.0000
Pr: 0.8147 0.6294 0.1874
Pr: 0.0000 0.0000 0.5000
Pr: 0.1853 0.3706 0.8126
Pr: 0.6801 0.3602 0.7967
Pr: 0.3199 0.6398 0.2033

Calculated values
For the total energy, the calculation gives -4.65 eV per atom. Its total moment is 0.0 μB/cell. The value obtained for the formation energy is 17.0 kJ per mole of atoms. As for the space-group type: No. 12.

Entry from Alexandria: a relaxed structure of Pr2Dy2Sc (PBE-GGA).

Cell lengths 6.3197, 6.3197, 9.1358 Å; angles 108.89, 108.06, 94.81 degrees
Fractional coordinates of all 10 atoms:
Dy: 0.8653 0.2379 0.0423
Dy: 0.1347 0.7621 0.9577
Dy: 0.1957 0.3230 0.4577
Dy: 0.8043 0.6770 0.5423
Pr: 0.2057 0.7756 0.3440
Pr: 0.4315 0.3617 0.1560
Pr: 0.7943 0.2244 0.6560
Pr: 0.5685 0.6383 0.8440
Sc: 0.3200 0.0700 0.7500
Sc: 0.6800 0.9300 0.2500

Calculated values
For the total energy, the calculation gives -4.89 eV per atom. Its total moment is 0.0 μB/cell. The value obtained for the formation energy is 12.3 kJ per mole of atoms. The polymorph energy (0 for the lowest one) is 0 meV per atom. As for the space-group type: No. 15.

Entry from Alexandria: a relaxed structure of Pr3DySc2 (PBE-GGA).

Cell lengths 3.4938, 9.5326, 11.4414 Å; angles 84.72, 90.00, 90.00 degrees
Fractional coordinates of all 12 atoms:
Sc: 0.7500 0.0758 0.3833
Sc: 0.2500 0.9242 0.6167
Sc: 0.2500 0.4292 0.8497
Sc: 0.7500 0.5708 0.1503
Dy: 0.2500 0.7635 0.3590
Dy: 0.7500 0.2365 0.6410
Pr: 0.7500 0.9280 0.1237
Pr: 0.2500 0.3976 0.3929
Pr: 0.2500 0.2610 0.1330
Pr: 0.7500 0.6024 0.6071
Pr: 0.7500 0.7390 0.8670
Pr: 0.2500 0.0720 0.8763

Calculated values
For the total energy, the calculation gives -5.14 eV per atom. Its total moment is 0.0 μB/cell. The value obtained for the formation energy is 12.3 kJ per mole of atoms. The polymorph energy (0 for the lowest one) is 0 meV per atom. As for the space-group type: No. 11.

Entry from Alexandria: a relaxed structure of Pr3Dy7Sc (PBE-GGA).

Cell lengths 8.6615, 7.0456, 7.0456 Å; angles 120.00, 90.00, 90.00 degrees
Fractional coordinates of all 11 atoms:
Pr: 0.7806 0.0017 0.5009
Pr: 0.7806 0.4991 0.5009
Pr: 0.7806 0.4991 0.9983
Dy: 0.4453 0.8325 0.1675
Dy: 0.1244 0.6637 0.8318
Dy: 0.1244 0.1682 0.8318
Dy: 0.4453 0.8325 0.6650
Dy: 0.1244 0.1682 0.3363
Dy: 0.1223 0.6667 0.3333
Dy: 0.4453 0.3350 0.1675
Sc: 0.4418 0.3333 0.6667

Calculated values
For the total energy, the calculation gives -4.63 eV per atom. Its total moment is 0.0 μB/cell. The value obtained for the formation energy is 17.0 kJ per mole of atoms. As for the space-group type: No. 156.

Entry from Alexandria: a relaxed structure of PrDy6Sc (PBE-GGA).

Cell lengths 5.0084, 5.0084, 9.9392 Å; angles 90.00, 90.00, 90.00 degrees
Fractional coordinates of all 8 atoms:
Dy: 0.5000 0.5000 0.0000
Dy: 0.0000 0.5000 0.7420
Dy: 0.0000 0.5000 0.2580
Dy: 0.5000 0.0000 0.2580
Dy: 0.5000 0.0000 0.7420
Dy: 0.5000 0.5000 0.5000
Pr: 0.0000 0.0000 0.0000
Sc: 0.0000 0.0000 0.5000

Calculated values
For the total energy, the calculation gives -4.80 eV per atom. Its total moment is 0.0 μB/cell. The value obtained for the formation energy is 3.7 kJ per mole of atoms. The polymorph energy (0 for the lowest one) is 0 meV per atom. As for the space-group type: No. 123.

Entry from Alexandria: a relaxed structure of Pr4DySc5 (PBE-GGA).

Cell lengths 3.6072, 3.6072, 22.6546 Å; angles 90.00, 90.00, 90.00 degrees
Fractional coordinates of all 10 atoms:
Dy: 0.0000 0.0000 0.0000
Pr: 0.0000 0.0000 0.3992
Pr: 0.0000 0.0000 0.1975
Pr: 0.0000 0.0000 0.8025
Pr: 0.0000 0.0000 0.6008
Sc: 0.5000 0.5000 0.2981
Sc: 0.5000 0.5000 0.7019
Sc: 0.5000 0.5000 0.9036
Sc: 0.5000 0.5000 0.0964
Sc: 0.5000 0.5000 0.5000

Calculated values
For the total energy, the calculation gives -5.48 eV per atom. Its total moment is 0.0 μB/cell. The value obtained for the formation energy is 5.6 kJ per mole of atoms. As for the space-group type: No. 123.